Entry 1:
First-principles (PBE) data for an optimized crystal structure of ErScTl2Te4, as listed in the Alexandria database.

abc: 4.347 7.525 8.534
angles: 107.07 90.00 90.00
Positions (direct):
Er 0.500 0.500 0.000
Sc 0.000 0.000 0.000
Tl 0.500 0.000 0.500
Tl 0.000 0.500 0.500
Te 0.500 0.226 0.205
Te 0.500 0.774 0.795
Te 0.000 0.255 0.791
Te 0.000 0.745 0.209

The total DFT energy (no corrections) comes out at -0.1654 Ha/atom. As for the total moment: 0.0 μB per formula unit.

***

Entry 2:
First-principles (PBE) data for an optimized crystal structure of Ca3Zn, as listed in the Alexandria database.

abc: 5.077 5.077 5.077
angles: 90.00 90.00 90.00
Positions (direct):
Ca 0.500 0.500 0.000
Ca 0.500 0.000 0.500
Ca 0.000 0.500 0.500
Zn 0.000 0.000 0.000

The total DFT energy (no corrections) comes out at -0.0667 Ha/atom. As for the total moment: 0.0 μB per formula unit. Its formation energy is 0.01 eV/atom. For the energy above the most stable polymorph in this dataset, the calculation gives 0.132 eV/atom.

***

Entry 3:
First-principles (PBE) data for an optimized crystal structure of LiPrScAu, as listed in the Alexandria database.

abc: 5.081 5.081 5.081
angles: 60.00 60.00 60.00
Positions (direct):
Pr 0.500 0.500 0.500
Sc 0.000 0.000 0.000
Au 0.750 0.750 0.750
Li 0.250 0.250 0.250

The total DFT energy (no corrections) comes out at -0.1617 Ha/atom. As for the total moment: 0.0 μB per formula unit. Its formation energy is -0.32 eV/atom.

***

Entry 4:
First-principles (PBE) data for an optimized crystal structure of TmTcN2, as listed in the Alexandria database.

abc: 3.274 3.274 5.351
angles: 72.18 72.18 60.00
Each line ends with the local moment (μB).
Positions (direct):
Tm 0.500 0.500 0.500  -0.02
Tc 0.000 0.000 0.000  1.37
N 0.258 0.258 0.225  0.07
N 0.742 0.742 0.775  0.07

The total DFT energy (no corrections) comes out at -0.3181 Ha/atom. As for the total moment: 1.6 μB per formula unit. For the energy above the most stable polymorph in this dataset, the calculation gives 0.172 eV/atom.

***

Entry 5:
First-principles (PBE) data for an optimized crystal structure of ZrGaS2N, as listed in the Alexandria database.

abc: 5.106 5.106 4.159
angles: 90.00 90.00 90.00
Positions (direct):
S 0.000 0.500 0.000
S 0.500 0.000 0.000
Ga 0.500 0.500 0.500
Zr 0.000 0.000 0.000
N 0.000 0.000 0.500

The total DFT energy (no corrections) comes out at -0.2131 Ha/atom. As for the total moment: 0.0 μB per formula unit. For the energy above the most stable polymorph in this dataset, the calculation gives 0.000 eV/atom.

***

Entry 6:
First-principles (PBE) data for an optimized crystal structure of HfCdTe2As, as listed in the Alexandria database.

abc: 5.598 5.142 5.598
angles: 90.00 90.00 90.00
Positions (direct):
As 0.000 0.500 0.000
Te 0.000 0.000 0.500
Te 0.500 0.000 0.000
Hf 0.000 0.000 0.000
Cd 0.500 0.500 0.500

The total DFT energy (no corrections) comes out at -0.1598 Ha/atom. As for the total moment: 0.0 μB per formula unit. For the energy above the most stable polymorph in this dataset, the calculation gives 0.000 eV/atom.

***

Entry 7:
First-principles (PBE) data for an optimized crystal structure of ScTi2Zn, as listed in the Alexandria database.

abc: 4.679 4.679 4.679
angles: 60.00 60.00 60.00
Each line ends with the local moment (μB).
Positions (direct):
Sc 0.500 0.500 0.500  0.19
Ti 0.000 0.000 0.000  0.78
Ti 0.250 0.250 0.250  1.31
Zn 0.750 0.750 0.750  -0.02

The total DFT energy (no corrections) comes out at -0.2143 Ha/atom. As for the total moment: 2.9 μB per formula unit. Its formation energy is 0.02 eV/atom.

***

Entry 8:
First-principles (PBE) data for an optimized crystal structure of LiPm4Pt, as listed in the Alexandria database.

abc: 8.089 8.089 8.089
angles: 111.90 111.90 104.71
Positions (direct):
Li 0.250 0.250 0.000
Li 0.000 0.500 0.500
Pm 0.266 0.955 0.689
Pm 0.734 0.426 0.692
Pm 0.705 0.516 0.189
Pm 0.176 0.984 0.192
Pm 0.328 0.516 0.811
Pm 0.792 0.984 0.808
Pm 0.734 0.042 0.308
Pm 0.266 0.578 0.311
Pt 0.748 0.748 0.000
Pt 0.498 0.998 0.500

The total DFT energy (no corrections) comes out at -0.1668 Ha/atom. As for the total moment: 0.0 μB per formula unit. Its formation energy is -0.05 eV/atom.

***

Entry 9:
First-principles (PBE) data for an optimized crystal structure of BaSrSnBr6, as listed in the Alexandria database.

abc: 7.252 7.252 14.258
angles: 90.00 90.00 90.00
Positions (direct):
Ba 0.500 0.500 0.166
Ba 0.000 0.000 0.666
Sr 0.500 0.500 0.500
Sr 0.000 0.000 0.000
Sn 0.500 0.500 0.834
Sn 0.000 0.000 0.334
Br 0.199 0.801 0.490
Br 0.801 0.199 0.490
Br 0.301 0.301 0.990
Br 0.699 0.699 0.990
Br 0.185 0.815 0.170
Br 0.815 0.185 0.170
Br 0.315 0.315 0.670
Br 0.685 0.685 0.670
Br 0.796 0.204 0.841
Br 0.204 0.796 0.841
Br 0.704 0.704 0.341
Br 0.296 0.296 0.341

The total DFT energy (no corrections) comes out at -0.1333 Ha/atom. As for the total moment: 0.0 μB per formula unit.

***

Entry 10:
First-principles (PBE) data for an optimized crystal structure of Ta2TlIn, as listed in the Alexandria database.

abc: 3.626 4.707 4.736
angles: 90.00 90.00 90.00
Positions (direct):
In 0.000 0.500 0.500
Ta 0.000 0.000 0.000
Ta 0.500 0.500 0.000
Tl 0.500 0.000 0.500

The total DFT energy (no corrections) comes out at -0.2483 Ha/atom. As for the total moment: 0.0 μB per formula unit. Its formation energy is 0.44 eV/atom. For the energy above the most stable polymorph in this dataset, the calculation gives 0.120 eV/atom.

***

Entry 11:
First-principles (PBE) data for an optimized crystal structure of InOsPt, as listed in the Alexandria database.

abc: 9.000 2.922 8.937
angles: 90.00 118.08 90.00
Positions (direct):
In 0.382 0.000 0.071
In 0.382 0.500 0.571
In 0.755 0.000 0.677
In 0.755 0.500 0.177
Os 0.082 0.000 0.375
Os 0.082 0.500 0.875
Os 0.194 0.000 0.707
Os 0.194 0.500 0.207
Pt 0.544 0.000 0.875
Pt 0.544 0.500 0.375
Pt 0.909 0.000 0.018
Pt 0.909 0.500 0.518

The total DFT energy (no corrections) comes out at -0.2424 Ha/atom. As for the total moment: 0.0 μB per formula unit. Its formation energy is 0.07 eV/atom. For the energy above the most stable polymorph in this dataset, the calculation gives 0.107 eV/atom.

***

Entry 12:
First-principles (PBE) data for an optimized crystal structure of LaNbAg3, as listed in the Alexandria database.

abc: 5.143 5.143 5.143
angles: 90.00 90.00 90.00
Each line ends with the local moment (μB).
Positions (direct):
Nb 0.000 0.000 0.000  0.33
Ag 0.000 0.500 0.000  0.02
Ag 0.000 0.000 0.500  0.02
Ag 0.500 0.000 0.000  0.02
La 0.500 0.500 0.500  0.01

The total DFT energy (no corrections) comes out at -0.1471 Ha/atom. As for the total moment: 0.5 μB per formula unit. Its formation energy is 0.71 eV/atom. For the energy above the most stable polymorph in this dataset, the calculation gives 0.000 eV/atom.

***

Entry 13:
First-principles (PBE) data for an optimized crystal structure of OsBrO, as listed in the Alexandria database.

abc: 7.369 7.369 5.466
angles: 90.00 90.00 120.00
Each line ends with the local moment (μB).
Positions (direct):
Os 0.814 0.426 0.682  -0.28
Os 0.612 0.186 0.015  -0.28
Os 0.574 0.388 0.349  -0.28
Br 0.647 0.920 0.221  -0.03
Br 0.080 0.727 0.887  -0.03
Br 0.273 0.353 0.554  -0.03
O 0.828 0.626 0.431  -0.04
O 0.798 0.172 0.764  -0.04
O 0.374 0.202 0.097  -0.04

The total DFT energy (no corrections) comes out at -0.2208 Ha/atom. As for the total moment: 0.4 μB per formula unit.